{
  "formula": "BeInMoH2",
  "functional": "PBE-GGA",
  "state": "optimized geometry",
  "cell": [[3.7428, 0.0000, 0.0000], [0.0000, 3.7428, 0.0000], [0.0000, 0.0000, 5.2588]],
  "species": ["Be", "In", "Mo", "H", "H"],
  "fractional_positions": [[0.0000, 0.0000, 0.0000], [0.0000, 0.0000, 0.5000], [0.5000, 0.5000, 0.5000], [0.0000, 0.5000, 0.0000], [0.5000, 0.0000, 0.0000]],
  "final_energy_ev_per_atom": -3.5706,
  "space_group": "P4/mmm (123)",
  "density_g_cm3": 5.0
}

***

{
  "formula": "KVAg2",
  "functional": "PBE-GGA",
  "state": "optimized geometry",
  "cell": [[0.0000, 3.6028, 3.6028], [3.6028, 0.0000, 3.6028], [3.6028, 3.6028, 0.0000]],
  "species": ["K", "V", "Ag", "Ag"],
  "fractional_positions": [[0.0000, 0.0000, 0.0000], [0.5000, 0.5000, 0.5000], [0.2500, 0.2500, 0.2500], [0.7500, 0.7500, 0.7500]],
  "delta_e_f_ev_per_fu": 3.0,
  "space_group": "Fm-3m (225)",
  "density_g_cm3": 5.4,
  "de_polymorph_mev_per_atom": 0
}

***

{
  "formula": "AlTcBr2Cl",
  "functional": "PBE-GGA",
  "state": "optimized geometry",
  "cell": [[6.3752, 0.0000, 0.0000], [0.0000, 6.3752, 0.0000], [0.0000, 0.0000, 4.5400]],
  "species": ["Al", "Tc", "Br", "Br", "Cl"],
  "fractional_positions": [[0.0000, 0.0000, 0.0000], [0.5000, 0.5000, 0.0000], [0.0000, 0.5000, 0.5000], [0.5000, 0.0000, 0.5000], [0.5000, 0.5000, 0.5000]],
  "space_group": "P4/mmm (123)",
  "density_g_cm3": 2.9,
  "formation_energy_uncorrected_ev_per_atom": 0.71
}

***

{
  "formula": "KInSi2",
  "functional": "PBE-GGA",
  "state": "optimized geometry",
  "cell": [[4.6073, -1.9023, 0.0000], [4.6073, 1.9023, 0.0000], [-1.7001, 0.0000, 6.6061]],
  "species": ["K", "In", "Si", "Si"],
  "fractional_positions": [[0.0000, 0.0000, 0.0000], [0.5000, 0.5000, 0.5000], [0.2538, 0.2538, 0.6261], [0.7462, 0.7462, 0.3739]],
  "space_group": "C2/m (12)",
  "density_g_cm3": 3.0,
  "formation_energy_uncorrected_ev_per_atom": 0.19
}

***

{
  "formula": "BaTaSi2Sb",
  "functional": "PBE-GGA",
  "state": "optimized geometry",
  "cell": [[5.4009, 0.0000, 0.0000], [0.0000, 5.4009, 0.0000], [0.0000, 0.0000, 5.4304]],
  "species": ["Ba", "Ta", "Si", "Si", "Sb"],
  "fractional_positions": [[0.0000, 0.0000, 0.0000], [0.0000, 0.0000, 0.5000], [0.0000, 0.5000, 0.0000], [0.5000, 0.0000, 0.0000], [0.5000, 0.5000, 0.5000]],
  "space_group": "P4/mmm (123)",
  "density_g_cm3": 5.2,
  "formation_energy_uncorrected_ev_per_atom": 2.32
}

***

{
  "formula": "InMoI2N",
  "functional": "PBE-GGA",
  "state": "optimized geometry",
  "cell": [[5.9642, 0.0000, 0.0000], [0.0000, 5.9642, 0.0000], [0.0000, 0.0000, 4.1164]],
  "species": ["In", "Mo", "I", "I", "N"],
  "fractional_positions": [[0.0000, 0.0000, 0.0000], [0.5000, 0.5000, 0.5000], [0.0000, 0.5000, 0.0000], [0.5000, 0.0000, 0.0000], [0.0000, 0.0000, 0.5000]],
  "space_group": "P4/mmm (123)",
  "density_g_cm3": 5.4,
  "de_polymorph_mev_per_atom": 1173,
  "formation_energy_uncorrected_ev_per_atom": 1.30
}

***

{
  "formula": "SrDyZnPt",
  "functional": "PBE-GGA",
  "state": "optimized geometry",
  "cell": [[0.0000, 3.6222, 3.6222], [3.6222, 0.0000, 3.6222], [3.6222, 3.6222, 0.0000]],
  "species": ["Sr", "Dy", "Zn", "Pt"],
  "fractional_positions": [[0.0000, 0.0000, 0.0000], [0.5000, 0.5000, 0.5000], [0.7500, 0.7500, 0.7500], [0.2500, 0.2500, 0.2500]],
  "delta_e_f_ev_per_fu": -2.2,
  "space_group": "F-43m (216)",
  "density_g_cm3": 8.9
}

***

{
  "formula": "HgHClF2",
  "functional": "PBE-GGA",
  "state": "optimized geometry",
  "cell": [[6.4448, 0.0000, 0.0000], [0.0000, 3.9052, 0.0000], [-1.3318, 0.0000, 7.5828]],
  "species": ["Hg", "Hg", "H", "H", "Cl", "Cl", "F", "F", "F", "F"],
  "fractional_positions": [[0.1769, 0.2500, 0.2020], [0.8231, 0.7500, 0.7980], [0.3353, 0.7500, 0.8990], [0.6647, 0.2500, 0.1010], [0.1976, 0.7500, 0.4081], [0.8024, 0.2500, 0.5919], [0.1698, 0.7500, 0.9909], [0.4451, 0.7500, 0.8200], [0.5549, 0.2500, 0.1800], [0.8302, 0.2500, 0.0091]],
  "final_energy_ev_per_atom": -3.0832,
  "space_group": "P2_1/m (11)",
  "density_g_cm3": 4.8
}